The following is a DFT calculation (PBE) of a geometry-optimized Hg6SbAsBr2 structure.

Space-group type   P2_1/c, No. 14
Formation energy (no corrections)   -0.104 eV per atom
Crystal system   monoclinic

Cell lengths 7.729, 7.960, 13.095 Å; angles 90.00, 126.05, 90.00 degrees
Sites, in units of the cell vectors:
Hg 0.119 0.004 0.243
Hg 0.119 0.496 0.743
Hg 0.282 0.745 0.050
Hg 0.282 0.755 0.550
Hg 0.305 0.233 0.051
Hg 0.305 0.267 0.551
Hg 0.695 0.733 0.449
Hg 0.695 0.767 0.949
Hg 0.718 0.245 0.450
Hg 0.718 0.255 0.950
Hg 0.881 0.504 0.257
Hg 0.881 0.996 0.757
Sb 0.500 0.000 0.500
Sb 0.500 0.500 0.000
As 0.000 0.000 0.000
As 0.000 0.500 0.500
Br 0.250 0.001 0.751
Br 0.250 0.499 0.251
Br 0.750 0.501 0.749
Br 0.750 0.999 0.249